(1)
HfHg2As | PBE | optimized geometry

## Properties
total DFT energy (no corrections) = -3.67 eV/atom
crystal system = cubic
spin magnetization = 0.001 μB per atom

Geometry as CIF:
```
data_HfHg2As
_chemical_formula_sum 'Hf4 Hg8 As4'
_cell_length_a 6.963
_cell_length_b 6.963
_cell_length_c 6.963
_cell_angle_alpha 90.00
_cell_angle_beta 90.00
_cell_angle_gamma 90.00
_space_group_name_H-M_alt 'F -4 3 m'
_space_group_IT_number 216
_space_group_name_Hall 'F -4 2 3'
loop_
_atom_site_label
_atom_site_type_symbol
_atom_site_fract_x
_atom_site_fract_y
_atom_site_fract_z
Hf1 Hf 0.000 0.000 0.000
Hg1 Hg 0.000 0.000 0.500
Hg2 Hg 0.250 0.250 0.250
As1 As 0.250 0.250 0.750
```



(2)
ZrCuGeIr | PBE | optimized geometry

## Properties
offset from the most stable computed form = 0 meV per atom
crystal system = cubic
spin magnetization = 0.000 μB per atom

Geometry as CIF:
```
data_ZrCuGeIr
_chemical_formula_sum 'Zr4 Cu4 Ge4 Ir4'
_cell_length_a 6.334
_cell_length_b 6.334
_cell_length_c 6.334
_cell_angle_alpha 90.00
_cell_angle_beta 90.00
_cell_angle_gamma 90.00
_space_group_name_H-M_alt 'F -4 3 m'
_space_group_IT_number 216
_space_group_name_Hall 'F -4 2 3'
loop_
_atom_site_label
_atom_site_type_symbol
_atom_site_fract_x
_atom_site_fract_y
_atom_site_fract_z
Zr1 Zr 0.000 0.000 0.000
Cu1 Cu 0.250 0.250 0.750
Ge1 Ge 0.000 0.000 0.500
Ir1 Ir 0.250 0.250 0.250
```